## CrFe2Tc (GGA-PBE)

Data for crystalline CrFe2Tc at its relaxed geometry.

Fermi-level density of states in states/eV/atom: 1.073
Formation energy in eV per atom: 0.1141

```
CrFe2Tc
1.0
2.5543 -3.6440 0.0000
2.5543 3.6440 0.0000
0.0000 0.0000 2.5728
Cr Fe Tc
1 2 1
Direct
0.0000 0.0000 0.0000 Cr
0.0000 0.5000 0.5000 Fe
0.5000 0.0000 0.5000 Fe
0.5000 0.5000 0.0000 Tc
```